Record 1
Below is V5Mo3P2 after structural relaxation, with properties calculated at the GGA-PBE level.

The structure in POSCAR format:
```
V5Mo3P2
1.0
5.7164 0.0000 0.0000
2.8582 7.3640 -0.8158
2.8582 1.1677 7.3165
Mo P V
6 4 10
Direct
0.8555 0.8268 0.4621 Mo
0.1445 0.1732 0.5379 Mo
0.7500 0.0000 0.0000 Mo
0.3555 0.4621 0.8268 Mo
0.2500 0.0000 0.0000 Mo
0.6445 0.5379 0.1732 Mo
0.8892 0.2614 0.9601 P
0.3892 0.9601 0.2614 P
0.6108 0.0399 0.7386 P
0.1108 0.7386 0.0399 P
0.3595 0.7685 0.5124 V
0.1405 0.4876 0.2315 V
0.2500 0.5000 0.5000 V
0.9881 0.7619 0.7619 V
0.7500 0.5000 0.5000 V
0.8595 0.5124 0.7685 V
0.6405 0.2315 0.4876 V
0.5119 0.2381 0.2381 V
0.0119 0.2381 0.2381 V
0.4881 0.7619 0.7619 V
```

- E_tot: -173.4 eV/cell

---

Record 2
Below is RbTiSb2I after structural relaxation, with properties calculated at the GGA-PBE level.

The structure in POSCAR format:
```
RbTiSb2I
1.0
6.1048 0.0000 0.0000
0.0000 6.1048 0.0000
0.0000 0.0000 6.2962
Sb Rb Ti I
2 1 1 1
Direct
0.0000 0.5000 0.0000 Sb
0.5000 0.0000 0.0000 Sb
0.0000 0.0000 0.0000 Rb
0.5000 0.5000 0.5000 Ti
0.0000 0.0000 0.5000 I
```

- Distance to the lowest polymorph of the same formula: 1.736 eV per atom
- Formation energy (no corrections): 1.345 eV/atom
- E_tot: -11.9 eV/cell

---

Record 3
Below is La2Tb7Mg2 after structural relaxation, with properties calculated at the GGA-PBE level.

The structure in POSCAR format:
```
La2Tb7Mg2
1.0
8.3769 1.1951 1.7247
0.3758 6.5145 0.7635
0.3758 -1.5728 6.3677
Tb La Mg
7 2 2
Direct
0.8256 0.5282 0.8838 Tb
0.1744 0.1162 0.4718 Tb
0.5868 0.1414 0.1414 Tb
0.8256 0.8838 0.5282 Tb
0.0000 0.0000 0.0000 Tb
0.4132 0.8586 0.8586 Tb
0.1744 0.4718 0.1162 Tb
0.5000 0.3178 0.6822 La
0.5000 0.6822 0.3178 La
0.1620 0.6160 0.6160 Mg
0.8380 0.3840 0.3840 Mg
```

- E_tot: -44.7 eV/cell

---

Record 4
Below is Co3ReSi after structural relaxation, with properties calculated at the GGA-PBE level.

The structure in POSCAR format:
```
Co3ReSi
1.0
4.4331 0.0000 0.0000
0.0000 4.4331 0.0000
0.0000 0.0000 4.4331
Co Re Si
3 1 1
Direct
0.0000 0.0000 0.5000 Co
0.5000 0.0000 0.0000 Co
0.0000 0.5000 0.0000 Co
0.0000 0.0000 0.0000 Re
0.5000 0.5000 0.5000 Si
```

- Distance to the lowest polymorph of the same formula: 0.680 eV per atom
- Formation energy (no corrections): 1.607 eV/atom
- E_tot: -31.2 eV/cell

---

Record 5
Below is Li2Mn2Ge after structural relaxation, with properties calculated at the GGA-PBE level.

The structure in POSCAR format:
```
Li2Mn2Ge
1.0
-2.6617 2.6889 -4.6532
-4.9525 -3.2436 0.9586
-1.5029 3.0737 2.6359
Li Ge Mn
4 2 4
Direct
0.3246 0.1754 0.5000 Li
0.8246 0.3246 0.5000 Li
0.6754 0.8246 0.5000 Li
0.1754 0.6754 0.5000 Li
0.0000 0.0000 0.0000 Ge
0.5000 0.5000 0.0000 Ge
0.6230 0.1230 0.0000 Mn
0.8770 0.6230 0.0000 Mn
0.3770 0.8770 0.0000 Mn
0.1230 0.3770 0.0000 Mn
```

- Distance to the lowest polymorph of the same formula: 0.000 eV per atom
- E_tot: -51.3 eV/cell

---

Record 6
Below is BaNaTl2Pt after structural relaxation, with properties calculated at the GGA-PBE level.

The structure in POSCAR format:
```
BaNaTl2Pt
1.0
-0.1815 4.1288 2.2768
-4.4205 -0.4315 0.4301
3.2198 -5.1753 4.7526
Tl Pt Na Ba
2 1 1 1
Direct
0.0428 0.0428 0.0856 Tl
0.7070 0.2070 0.4141 Tl
0.8419 0.8419 0.6838 Pt
0.2021 0.7021 0.4042 Na
0.4183 0.4183 0.8367 Ba
```

- Distance to the lowest polymorph of the same formula: 0.000 eV per atom
- E_tot: -15.8 eV/cell

---

Record 7
Below is MnIrPb after structural relaxation, with properties calculated at the GGA-PBE level.

The structure in POSCAR format:
```
MnIrPb
1.0
-3.1540 1.5985 -3.8140
-5.1028 -0.9969 -0.1285
3.6913 1.7775 3.2037
Ir Pb Mn
1 1 1
Direct
0.9823 0.9823 0.0000 Ir
0.6638 0.6638 0.0000 Pb
0.3539 0.3539 0.0000 Mn
```

- Distance to the lowest polymorph of the same formula: 0.083 eV per atom
- E_tot: -20.7 eV/cell

---

Record 8
Below is BaAs2Pt after structural relaxation, with properties calculated at the GGA-PBE level.

The structure in POSCAR format:
```
BaAs2Pt
1.0
5.5411 -0.0400 0.0000
1.7656 5.2525 0.0000
-3.6534 -2.6063 3.2506
Pt Ba As
1 1 2
Direct
0.7500 0.2500 0.5000 Pt
0.5000 0.5000 0.0000 Ba
0.0000 0.0000 0.0000 As
0.2500 0.7500 0.5000 As
```

- E_tot: -17.5 eV/cell

---

Question: Among the records above, which one has the lowest E_tot?
Answer: V5Mo3P2

---

Question: Which value of E_tot does entry 6 give?
Answer: -15.8 eV/cell